(1)
Mn2TcHg: optimized geometry, PBE-GGA.

Cell: 8.899 8.899 8.899 Å, 18.79 18.79 18.79°
Last column: magnetic moment on the atom in μB.
Sites, in units of the cell vectors:
Hg (0.750, 0.750, 0.750)  -0.04
Mn (0.992, 0.992, 0.992)  3.19
Mn (0.508, 0.508, 0.508)  3.19
Tc (0.250, 0.250, 0.250)  -0.36

Summary:
**Crystal system**: trigonal
**Calculated density**: 10.6 Mg/m³
**Space-group type**: R-3m, No. 166
**Uncorrected energy**: -27.57 eV/cell
**Calculated formation energy**: 0.359 eV per atom



(2)
AlNiSe2: optimized geometry, PBE-GGA.

Cell: 3.759 3.759 6.897 Å, 93.85 93.85 59.95°
Sites, in units of the cell vectors:
Ni (0.134, 0.134, 0.474)
Al (0.452, 0.452, 0.301)
Se (0.103, 0.103, 0.113)
Se (0.812, 0.812, 0.613)

Summary:
**Crystal system**: monoclinic
**Calculated density**: 4.8 Mg/m³
**Space-group type**: Cm, No. 8
**Uncorrected energy**: -18.61 eV/cell



(3)
CaPtN3: optimized geometry, PBE-GGA.

Cell: 3.966 3.966 3.966 Å, 90.00 90.00 90.00°
Sites, in units of the cell vectors:
Ca (0.500, 0.500, 0.500)
Pt (0.000, 0.000, 0.000)
N (0.000, 0.500, 0.000)
N (0.000, 0.000, 0.500)
N (0.500, 0.000, 0.000)

Summary:
**Crystal system**: cubic
**Calculated density**: 7.4 Mg/m³
**Space-group type**: Pm-3m, No. 221
**Uncorrected energy**: -28.40 eV/cell



(4)
Pm8Pr2Dy3: optimized geometry, PBE-GGA.

Cell: 5.106 7.984 11.471 Å, 97.18 90.00 90.00°
Sites, in units of the cell vectors:
Pm (0.000, 0.573, 0.354)
Pm (0.000, 0.427, 0.646)
Pm (0.000, 0.137, 0.215)
Pm (0.000, 0.863, 0.785)
Pm (0.500, 0.575, 0.856)
Pm (0.500, 0.150, 0.726)
Pm (0.500, 0.850, 0.274)
Pm (0.500, 0.425, 0.144)
Pr (0.500, 0.286, 0.430)
Pr (0.500, 0.714, 0.570)
Dy (0.500, 0.000, 0.000)
Dy (0.000, 0.286, 0.932)
Dy (0.000, 0.714, 0.068)

Summary:
**Crystal system**: monoclinic
**Calculated density**: 6.9 Mg/m³
**Space-group type**: P2/m, No. 10
**Excess energy over the best structure of this formula in the dataset**: 0.116 eV/atom
**Uncorrected energy**: -59.64 eV/cell
**Calculated formation energy**: 0.133 eV per atom



(5)
TiBiNF2: optimized geometry, PBE-GGA.

Cell: 4.482 4.482 4.649 Å, 90.00 90.00 90.00°
Last column: magnetic moment on the atom in μB.
Sites, in units of the cell vectors:
N (0.000, 0.000, 0.500)  -0.10
F (0.000, 0.500, 0.000)  0.01
F (0.500, 0.000, 0.000)  0.01
Bi (0.000, 0.000, 0.000)  0.02
Ti (0.500, 0.500, 0.500)  2.00

Summary:
**Crystal system**: tetragonal
**Calculated density**: 5.5 Mg/m³
**Space-group type**: P4/mmm, No. 123
**Excess energy over the best structure of this formula in the dataset**: 1.075 eV/atom
**Uncorrected energy**: -25.33 eV/cell



(6)
AcInTe3: optimized geometry, PBE-GGA.

Cell: 7.968 8.407 11.233 Å, 90.00 96.34 90.00°
Sites, in units of the cell vectors:
Ac (0.939, 0.624, 0.281)
Ac (0.561, 0.124, 0.219)
Ac (0.061, 0.376, 0.719)
Ac (0.439, 0.876, 0.781)
In (0.360, 0.656, 0.119)
In (0.140, 0.156, 0.381)
In (0.640, 0.344, 0.881)
In (0.860, 0.844, 0.619)
Te (0.159, 0.704, 0.560)
Te (0.341, 0.204, 0.940)
Te (0.841, 0.296, 0.440)
Te (0.659, 0.796, 0.060)
Te (0.845, 0.055, 0.813)
Te (0.655, 0.555, 0.687)
Te (0.155, 0.945, 0.187)
Te (0.345, 0.445, 0.313)
Te (0.641, 0.818, 0.409)
Te (0.859, 0.318, 0.091)
Te (0.359, 0.182, 0.591)
Te (0.141, 0.682, 0.909)

Summary:
**Crystal system**: monoclinic
**Calculated density**: 6.4 Mg/m³
**Space-group type**: P2_1/c, No. 14
**Uncorrected energy**: -82.69 eV/cell



(7)
CdSbMo: optimized geometry, PBE-GGA.

Cell: 7.700 7.555 3.068 Å, 81.08 75.75 23.18°
Sites, in units of the cell vectors:
Cd (0.976, 0.976, 0.024)
Mo (0.330, 0.330, 0.670)
Sb (0.694, 0.694, 0.306)

Summary:
**Crystal system**: orthorhombic
**Calculated density**: 8.2 Mg/m³
**Space-group type**: Fmm2, No. 42
**Excess energy over the best structure of this formula in the dataset**: 0.145 eV/atom
**Uncorrected energy**: -14.48 eV/cell



(8)
Zn2TeIr2: optimized geometry, PBE-GGA.

Cell: 7.435 7.435 2.989 Å, 90.00 90.00 90.00°
Sites, in units of the cell vectors:
Zn (0.125, 0.625, 0.500)
Zn (0.625, 0.875, 0.500)
Zn (0.875, 0.375, 0.500)
Zn (0.375, 0.125, 0.500)
Ir (0.329, 0.829, 0.000)
Ir (0.829, 0.671, 0.000)
Ir (0.671, 0.171, 0.000)
Ir (0.171, 0.329, 0.000)
Te (0.000, 0.000, 0.000)
Te (0.500, 0.500, 0.000)

Summary:
**Crystal system**: tetragonal
**Calculated density**: 12.9 Mg/m³
**Space-group type**: P4/mbm, No. 127
**Uncorrected energy**: -46.50 eV/cell



Question: What is the formula in the eighth record?
Answer: Zn2TeIr2



Question: Look up the calculated density of the seventh one.
Answer: 8.2 Mg/m³



Question: Which value of calculated density does entry 2 give?
Answer: 4.8 Mg/m³